CoBiAu3 | GGA-PBE | relaxed

```
CoBiAu3
1.0
-0.025 -0.762 5.319
2.315 -4.802 -0.677
4.849 2.288 0.351
Co Au Bi
1 3 1
Direct
0.500 0.500 0.500 Co
0.000 0.500 0.000 Au
0.000 0.000 0.500 Au
0.500 0.000 0.000 Au
0.000 0.000 0.000 Bi
```

- Energy of formation from the pure elements: 1.2322 eV per atom
- Symmetry: Pm-3m
- Distance to the lowest polymorph of the same formula: 686.5 meV per atom


TbGa2Si2Pt7 | GGA-PBE | relaxed

```
TbGa2Si2Pt7
1.0
-2.387 -0.687 -3.066
-2.603 -1.738 2.404
-8.255 11.397 1.866
Tb Ga Si Pt
1 2 2 7
Direct
0.000 0.000 0.000 Tb
0.902 0.902 0.409 Ga
0.098 0.098 0.591 Ga
0.602 0.602 0.743 Si
0.398 0.398 0.257 Si
0.500 0.500 0.000 Pt
0.366 0.366 0.422 Pt
0.634 0.634 0.578 Pt
0.936 0.436 0.161 Pt
0.436 0.936 0.161 Pt
0.564 0.064 0.839 Pt
0.064 0.564 0.839 Pt
```

- Symmetry: C2/m
- Uncorrected formation energy: -669 meV per atom


BeTcHg2 | GGA-PBE | relaxed

```
BeTcHg2
1.0
6.363 0.025 0.082
-2.486 4.228 0.012
1.392 0.812 2.545
Be Hg Tc
1 2 1
Direct
0.500 0.500 0.000 Be
0.000 0.000 0.000 Hg
0.500 0.000 0.500 Hg
0.000 0.500 0.500 Tc
```

- Energy of formation from the pure elements: 0.6505 eV per atom
- Symmetry: Cmmm


Ho5ThHg6 | GGA-PBE | relaxed

```
Ho5ThHg6
1.0
5.021 0.013 -1.480
-1.035 6.627 -3.451
-0.098 0.432 9.102
Ho Th Hg
5 1 6
Direct
0.658 0.159 0.318 Ho
0.330 0.329 0.658 Ho
0.000 0.500 0.000 Ho
0.670 0.671 0.342 Ho
0.342 0.841 0.682 Ho
0.000 0.000 0.000 Th
0.830 0.566 0.657 Hg
0.830 0.091 0.657 Hg
0.500 0.729 0.000 Hg
0.500 0.271 0.000 Hg
0.170 0.909 0.343 Hg
0.170 0.434 0.343 Hg
```

- Energy of formation from the pure elements: -0.4237 eV per atom
- Symmetry: C2/m


RbBeB2 | GGA-PBE | relaxed

```
RbBeB2
1.0
-1.705 0.475 3.082
1.000 -6.071 0.188
8.773 4.403 3.023
Be B Rb
2 4 2
Direct
0.078 0.316 0.501 Be
0.922 0.684 0.499 Be
0.597 0.390 0.500 B
0.403 0.610 0.500 B
0.527 0.133 0.500 B
0.473 0.867 0.500 B
0.878 0.862 0.219 Rb
0.122 0.138 0.781 Rb
```

- Energy of formation from the pure elements: 0.1962 eV per atom
- Symmetry: P-1


AgC2 | GGA-PBE | relaxed

```
AgC2
1.0
-0.447 -4.360 1.438
2.051 -3.945 -1.228
2.835 -2.893 2.206
C Ag
2 1
Direct
0.756 0.756 0.756 C
0.652 0.652 0.652 C
0.925 0.925 0.925 Ag
```

- Energy of formation from the pure elements: 1.6817 eV per atom
- Symmetry: R3m
- Distance to the lowest polymorph of the same formula: 1349.1 meV per atom


Co3Cu | GGA-PBE | relaxed

```
Co3Cu
1.0
-1.284 0.051 4.138
7.544 -2.241 2.368
1.320 4.814 0.350
Co Cu
12 4
Direct
0.918 0.250 0.868 Co
0.252 0.997 0.377 Co
0.252 0.503 0.377 Co
0.248 0.497 0.877 Co
0.248 0.003 0.877 Co
0.582 0.750 0.368 Co
0.418 0.250 0.632 Co
0.752 0.997 0.123 Co
0.752 0.503 0.123 Co
0.748 0.497 0.623 Co
0.748 0.003 0.623 Co
0.082 0.750 0.132 Co
0.083 0.750 0.629 Cu
0.417 0.250 0.129 Cu
0.583 0.750 0.871 Cu
0.917 0.250 0.371 Cu
```

- Energy of formation from the pure elements: 0.1056 eV per atom
- Symmetry: Pnma


FeCuOs | GGA-PBE | relaxed

```
FeCuOs
1.0
-2.425 -0.678 -3.721
1.295 -3.025 -3.059
-1.105 0.697 4.299
Cu Fe Os
1 1 1
Direct
0.999 0.999 0.000 Cu
0.326 0.326 0.000 Fe
0.676 0.676 0.000 Os
```

- Energy of formation from the pure elements: 0.2668 eV per atom
- Symmetry: Imm2
- Distance to the lowest polymorph of the same formula: 51.1 meV per atom


LaNdYZn | GGA-PBE | relaxed

```
LaNdYZn
1.0
-3.193 -1.183 1.334
-0.564 -1.925 -3.058
4.107 -6.983 3.637
La Nd Y Zn
1 1 1 1
Direct
0.000 0.000 0.077 La
0.500 0.500 0.774 Nd
0.500 0.500 0.372 Y
0.000 0.000 0.561 Zn
```

- Energy of formation from the pure elements: -0.1524 eV per atom
- Symmetry: P4mm


LuThNiOs | GGA-PBE | relaxed

```
LuThNiOs
1.0
4.871 0.000 0.000
2.436 4.219 0.000
2.436 1.406 3.977
Ni Lu Os Th
1 1 1 1
Direct
0.250 0.250 0.250 Ni
0.000 0.000 0.000 Lu
0.750 0.750 0.750 Os
0.500 0.500 0.500 Th
```

- Energy of formation from the pure elements: -0.3540 eV per atom
- Symmetry: F-43m


MnPtBr6 | GGA-PBE | relaxed

```
MnPtBr6
1.0
7.234 -0.729 -2.023
-3.869 4.964 -1.554
0.039 0.821 6.887
Mn Pt Br
1 1 6
Direct
0.000 0.000 0.000 Mn
0.500 0.000 0.000 Pt
0.881 0.142 0.284 Br
0.596 0.857 0.716 Br
0.404 0.143 0.284 Br
0.119 0.858 0.716 Br
0.259 0.517 0.000 Br
0.741 0.483 0.000 Br
```

- Symmetry: C2/m
- Uncorrected formation energy: -375 meV per atom


La2HgCN | GGA-PBE | relaxed

```
La2HgCN
1.0
-1.545 -4.600 0.996
2.547 -0.073 3.612
-3.742 1.837 2.676
C N Hg La
1 1 1 2
Direct
0.500 0.500 0.500 C
0.000 0.000 0.000 N
0.000 0.500 0.000 Hg
0.000 0.000 0.500 La
0.500 0.000 0.000 La
```

- Symmetry: P4/mmm
- Uncorrected formation energy: 318 meV per atom


NaBiOs3 | GGA-PBE | relaxed

```
NaBiOs3
1.0
-4.017 1.926 2.401
-2.396 -4.435 -0.450
1.933 -1.494 4.432
Na Os Bi
1 3 1
Direct
0.500 0.500 0.500 Na
0.000 0.500 0.000 Os
0.000 0.000 0.500 Os
0.500 0.000 0.000 Os
0.000 0.000 0.000 Bi
```

- Energy of formation from the pure elements: 2.6828 eV per atom
- Symmetry: Pm-3m
- Distance to the lowest polymorph of the same formula: 0.0 meV per atom


Na2MgCd9 | GGA-PBE | relaxed

```
Na2MgCd9
1.0
-0.296 1.413 7.658
1.961 -4.005 2.429
7.860 1.813 2.603
Na Mg Cd
2 1 9
Direct
0.203 0.104 0.571 Na
0.797 0.896 0.429 Na
0.000 0.000 0.000 Mg
0.299 0.362 0.858 Cd
0.701 0.638 0.142 Cd
0.500 0.500 0.500 Cd
0.501 0.779 0.843 Cd
0.748 0.225 0.742 Cd
0.938 0.617 0.783 Cd
0.499 0.221 0.157 Cd
0.062 0.383 0.217 Cd
0.252 0.775 0.258 Cd
```

- Energy of formation from the pure elements: -0.0509 eV per atom
- Symmetry: P-1


Cs2TiTeS | GGA-PBE | relaxed

```
Cs2TiTeS
1.0
-5.318 -4.937 0.011
1.497 -1.623 -4.759
4.482 -4.821 3.054
Cs S Te Ti
2 1 1 1
Direct
0.000 0.000 0.500 Cs
0.500 0.000 0.000 Cs
0.500 0.500 0.500 S
0.000 0.000 0.000 Te
0.000 0.500 0.000 Ti
```

- Symmetry: P4/mmm
- Uncorrected formation energy: -6 meV per atom


CaAcCe2Sb4 | GGA-PBE | relaxed

```
CaAcCe2Sb4
1.0
-2.754 -3.044 -2.086
3.818 -5.964 3.659
-3.540 -1.545 6.927
Ca Ac Ce Sb
1 1 2 4
Direct
0.000 0.500 0.500 Ca
0.500 0.500 0.000 Ac
0.000 0.000 0.000 Ce
0.500 0.000 0.500 Ce
0.000 0.767 0.740 Sb
0.000 0.233 0.260 Sb
0.500 0.765 0.249 Sb
0.500 0.235 0.751 Sb
```

- Symmetry: P2/m
- Uncorrected formation energy: -1050 meV per atom


InP2C2 | GGA-PBE | relaxed

```
InP2C2
1.0
-2.685 -0.092 -2.401
2.331 -0.971 -2.570
-1.147 -6.314 -1.180
P C In
2 2 1
Direct
0.308 0.308 0.383 P
0.692 0.692 0.617 P
0.750 0.250 0.500 C
0.250 0.750 0.500 C
0.000 0.000 0.000 In
```

- Energy of formation from the pure elements: 0.9393 eV per atom
- Symmetry: I4/mmm
- Distance to the lowest polymorph of the same formula: 0.0 meV per atom


Rb3Nb20O34 | GGA-PBE | relaxed

```
Rb3Nb20O34
1.0
6.079 0.000 0.000
0.000 10.529 0.008
0.000 -3.482 13.139
Rb Nb O
3 20 34
Direct
0.000 0.871 0.558 Rb
0.500 0.641 0.430 Rb
0.500 0.337 0.556 Rb
0.228 0.953 0.088 Nb
0.500 0.943 0.328 Nb
0.772 0.953 0.088 Nb
0.000 0.756 0.266 Nb
0.000 0.820 0.913 Nb
0.500 0.681 0.088 Nb
0.500 0.744 0.732 Nb
0.272 0.453 0.088 Nb
0.000 0.439 0.327 Nb
0.000 0.563 0.673 Nb
0.728 0.453 0.088 Nb
0.000 0.181 0.088 Nb
0.272 0.547 0.913 Nb
0.728 0.547 0.913 Nb
0.500 0.253 0.267 Nb
0.000 0.246 0.731 Nb
0.500 0.319 0.913 Nb
0.500 0.055 0.676 Nb
0.227 0.047 0.913 Nb
0.773 0.047 0.913 Nb
0.000 0.889 0.184 O
0.500 0.894 0.182 O
0.248 0.865 0.368 O
0.000 0.623 0.369 O
0.244 0.645 0.185 O
0.254 0.855 0.815 O
0.752 0.865 0.368 O
0.500 0.870 0.626 O
0.257 0.631 0.628 O
0.756 0.645 0.185 O
0.000 0.393 0.182 O
0.000 0.609 0.819 O
0.746 0.855 0.815 O
0.250 0.750 0.000 O
0.743 0.631 0.628 O
0.500 0.608 0.815 O
0.750 0.750 0.000 O
0.000 0.500 0.000 O
0.500 0.391 0.185 O
0.263 0.373 0.369 O
0.000 0.378 0.636 O
0.258 0.148 0.184 O
0.246 0.354 0.816 O
0.737 0.373 0.369 O
0.500 0.128 0.367 O
0.245 0.129 0.636 O
0.742 0.148 0.184 O
0.000 0.109 0.816 O
0.250 0.250 0.000 O
0.754 0.354 0.816 O
0.755 0.129 0.636 O
0.500 0.107 0.821 O
0.750 0.250 0.000 O
0.500 0.000 0.000 O
```

- Symmetry: Pm
- Uncorrected formation energy: -2270 meV per atom


RbHgB2Pt | GGA-PBE | relaxed

```
RbHgB2Pt
1.0
4.248 0.000 0.000
0.000 6.560 0.000
0.000 0.000 4.248
Rb B Hg Pt
1 2 1 1
Direct
0.000 0.500 0.000 Rb
0.000 0.000 0.500 B
0.500 0.000 0.000 B
0.500 0.500 0.500 Hg
0.000 0.000 0.000 Pt
```

- Energy of formation from the pure elements: 0.6348 eV per atom
- Symmetry: P4/mmm


CrInBr4 | GGA-PBE | relaxed

```
CrInBr4
1.0
5.773 -2.407 1.583
0.695 -6.340 0.975
3.280 -3.577 -4.251
Cr In Br
1 1 4
Direct
0.750 0.750 0.750 Cr
0.000 0.000 0.000 In
0.875 0.375 0.375 Br
0.375 0.375 0.875 Br
0.375 0.875 0.375 Br
0.375 0.375 0.375 Br
```

- Symmetry: F-43m
- Uncorrected formation energy: 490 meV per atom
- Distance to the lowest polymorph of the same formula: 1171.6 meV per atom